First-principles (GGA-PBE) data for a relaxed TiOs2F crystal, as listed in Alexandria via LeMat-Bulk.

abc: 4.285 4.285 4.285
angles: 60.00 60.00 60.00
Fractional coordinates of all 4 atoms:
Ti: 0.000 0.000 0.000
Os: 0.250 0.250 0.250
Os: 0.750 0.750 0.750
F: 0.500 0.500 0.500

Summary:
- Energy relative to the lowest polymorph listed for this composition: 0.006 eV/atom
- DOS at the Fermi energy: 3.679 states/eV/cell
- ρ: 13.35 Mg/m³
- Energy relative to the elements, uncorrected: 0.307 eV/atom
- Total magnetic moment: 0.0 μB/cell
- Final energy: -0.56958 Ry/atom
- Crystal system: cubic